# 1
! K6Rb2AuO, optimized geometry, DFT PBE; values from VASP
&SYSTEM
  ibrav = 0, nat = 10, ntyp = 4
/
ATOMIC_SPECIES
K 39.10 K.upf
Rb 85.47 Rb.upf
Au 196.97 Au.upf
O 16.00 O.upf
CELL_PARAMETERS angstrom
5.898 -6.146 0.000
5.898 6.146 0.000
-4.571 0.000 7.479
ATOMIC_POSITIONS angstrom
K 0.000 0.000 0.000
K -1.559 0.000 4.612
K 0.660 2.597 5.375
K 4.911 0.000 0.737
K 3.227 0.000 4.974
K 0.660 -2.597 5.375
Rb 8.232 2.455 1.709
Rb 8.232 -2.455 1.709
Au 6.761 0.000 3.973
O 0.749 0.000 5.725
! DOS(E_F) = 0.49 states/eV per atom
! total magnetic moment = 0.000 μB per formula unit
! uncorrected formation energy = -0.34 eV per atom
! SG = Cm

***

# 2
! K3Rb3Au2O, optimized geometry, DFT PBE; values from VASP
&SYSTEM
  ibrav = 0, nat = 9, ntyp = 4
/
ATOMIC_SPECIES
K 39.10 K.upf
Rb 85.47 Rb.upf
Au 196.97 Au.upf
O 16.00 O.upf
CELL_PARAMETERS angstrom
9.833 0.000 0.000
-4.917 8.516 0.000
0.000 0.000 4.095
ATOMIC_POSITIONS angstrom
K -3.973 6.881 0.000
K 0.944 1.634 0.000
K 7.946 0.000 0.000
Rb -2.153 3.728 2.048
Rb 4.305 0.000 2.048
Rb 2.764 4.787 2.048
Au 0.000 5.677 0.000
Au 4.917 2.839 0.000
O 0.000 0.000 2.048
! DOS(E_F) = 0.36 states/eV per atom
! total magnetic moment = 0.000 μB per formula unit
! uncorrected formation energy = -0.39 eV per atom
! SG = P-62m

***

# 3
! K2Rb6AuO, optimized geometry, DFT PBE; values from VASP
&SYSTEM
  ibrav = 0, nat = 10, ntyp = 4
/
ATOMIC_SPECIES
K 39.10 K.upf
Rb 85.47 Rb.upf
Au 196.97 Au.upf
O 16.00 O.upf
CELL_PARAMETERS angstrom
6.391 -6.391 0.000
6.391 6.391 0.000
-6.378 0.000 7.318
ATOMIC_POSITIONS angstrom
K 6.391 3.205 0.000
K 6.391 -3.205 0.000
Rb 3.201 0.000 0.560
Rb 0.492 0.000 3.794
Rb 3.199 2.706 3.793
Rb 3.199 -2.706 3.793
Rb 5.904 0.000 3.792
Rb 9.578 0.000 0.747
Au -3.194 0.000 4.224
O 3.198 0.000 3.238
! DOS(E_F) = 0.46 states/eV per atom
! total magnetic moment = 0.000 μB per formula unit
! uncorrected formation energy = -0.31 eV per atom
! SG = Cm

***

# 4
! KRb2AuO, optimized geometry, DFT PBE; values from VASP
&SYSTEM
  ibrav = 0, nat = 5, ntyp = 4
/
ATOMIC_SPECIES
K 39.10 K.upf
Rb 85.47 Rb.upf
Au 196.97 Au.upf
O 16.00 O.upf
CELL_PARAMETERS angstrom
5.629 0.000 0.000
0.000 5.629 0.000
0.000 0.000 5.305
ATOMIC_POSITIONS angstrom
K 0.000 0.000 0.000
Rb 0.000 2.815 2.652
Rb 2.815 0.000 2.652
Au 2.815 2.815 0.000
O 0.000 0.000 2.652
! DOS(E_F) = 0.15 states/eV per atom
! total magnetic moment = 0.000 μB per formula unit
! uncorrected formation energy = -0.71 eV per atom
! SG = P4/mmm
! offset from the most stable computed form = 0 meV/atom

***

# 5
! K3Rb4Au3O2, optimized geometry, DFT PBE; values from VASP
&SYSTEM
  ibrav = 0, nat = 12, ntyp = 4
/
ATOMIC_SPECIES
K 39.10 K.upf
Rb 85.47 Rb.upf
Au 196.97 Au.upf
O 16.00 O.upf
CELL_PARAMETERS angstrom
-2.667 2.800 14.148
2.667 -2.800 14.148
2.667 2.800 -14.148
ATOMIC_POSITIONS angstrom
K 0.000 0.000 0.000
K 2.667 0.000 2.664
K 0.000 2.800 11.484
Rb 0.000 0.000 5.399
Rb 2.667 0.000 11.518
Rb 0.000 2.800 2.630
Rb 0.000 0.000 22.898
Au 0.000 0.000 9.009
Au 0.000 0.000 14.148
Au 0.000 0.000 19.287
O 0.000 0.000 2.682
O 0.000 0.000 25.615
! DOS(E_F) = 0.00 states/eV per atom
! total magnetic moment = 0.000 μB per formula unit
! uncorrected formation energy = -0.65 eV per atom
! SG = Immm

***

# 6
! KRb2AuO2, optimized geometry, DFT PBE; values from VASP
&SYSTEM
  ibrav = 0, nat = 12, ntyp = 4
/
ATOMIC_SPECIES
K 39.10 K.upf
Rb 85.47 Rb.upf
Au 196.97 Au.upf
O 16.00 O.upf
CELL_PARAMETERS angstrom
6.132 0.000 0.000
0.000 11.427 0.000
0.000 0.000 4.368
ATOMIC_POSITIONS angstrom
K 0.000 0.000 0.000
K 3.066 5.713 2.184
Rb 0.658 2.989 2.184
Rb 2.408 8.703 0.000
Rb 3.724 2.724 0.000
Rb 5.475 8.437 2.184
Au 0.000 5.713 0.000
Au 3.066 0.000 2.184
O 1.472 10.147 2.184
O 1.594 4.433 0.000
O 4.539 6.994 0.000
O 4.660 1.280 2.184
! DOS(E_F) = 0.00 states/eV per atom
! total magnetic moment = 0.000 μB per formula unit
! uncorrected formation energy = -0.98 eV per atom
! SG = Pnnm